(1)
The following is a PBE calculation of crystalline TeRu2Pt at its relaxed geometry, from the Alexandria database.

For the raw formation energy, the calculation gives 0.77 eV/atom. The calculation puts the calculated volume at 94.3 Å³/f.u. Its total energy is -6.16 eV per atom.

The space group is I-42d (No. 122) and the conventional cell measures 5.482, 5.482 and 12.550 Å, with angles of 90.00, 90.00 and 90.00 degrees. The distinct sites, in fractional coordinates, are Te at (0.000, 0.000, 0.000), Ru at (0.234, 0.250, 0.625) and Pt at (0.000, 0.000, 0.500).



(2)
The following is a PBE calculation of crystalline Dy2ZnTe at its relaxed geometry, from the Alexandria database.

The energy above the lowest structure with this stoichiometry is 136 meV/atom. For the raw formation energy, the calculation gives -0.68 eV/atom. The calculation puts the calculated volume at 99.7 Å³/f.u. Its total energy is -4.08 eV per atom.

The space group is P4/mmm (No. 123) and the conventional cell measures 3.823, 3.823 and 6.818 Å, with angles of 90.00, 90.00 and 90.00 degrees. The distinct sites, in fractional coordinates, are Dy at (0.000, 0.000, 0.242), Zn at (0.500, 0.500, 0.000) and Te at (0.500, 0.500, 0.500).



(3)
The following is a PBE calculation of crystalline Mn2InNi9 at its relaxed geometry, from the Alexandria database.

The calculation puts the formation energy at -77 meV per atom. The calculation puts the calculated volume at 143.0 Å³/f.u. Its total energy is -6.17 eV per atom.

The space group is P4/mmm (No. 123) and the conventional cell measures 3.631, 3.631 and 10.845 Å, with angles of 90.00, 90.00 and 90.00 degrees. The distinct sites, in fractional coordinates, are Mn at (0.000, 0.000, 0.162), In at (0.000, 0.000, 0.500), Ni at (0.000, 0.500, 0.000), Ni at (0.000, 0.500, 0.320), Ni at (0.500, 0.500, 0.161) and Ni at (0.500, 0.500, 0.500).



(4)
The following is a PBE calculation of crystalline AcTbScAg at its relaxed geometry, from the Alexandria database.

The calculation puts the formation energy at 451 meV per atom. The calculation puts the calculated volume at 113.3 Å³/f.u. Its total energy is -4.03 eV per atom.

The space group is F-43m (No. 216) and the conventional cell measures 7.682, 7.682 and 7.682 Å, with angles of 90.00, 90.00 and 90.00 degrees. The distinct sites, in fractional coordinates, are Ac at (0.000, 0.000, 0.000), Tb at (0.250, 0.250, 0.250), Sc at (0.250, 0.250, 0.750) and Ag at (0.000, 0.000, 0.500).



(5)
The following is a PBE calculation of crystalline H3Ru at its relaxed geometry, from the Alexandria database.

The energy above the lowest structure with this stoichiometry is 14 meV/atom. The calculation puts the calculated volume at 25.5 Å³/f.u. Its total energy is -4.57 eV per atom.

The space group is Imm2 (No. 44) and the conventional cell measures 2.903, 4.317 and 4.063 Å, with angles of 90.00, 90.00 and 90.00 degrees. The distinct sites, in fractional coordinates, are H at (0.000, 0.000, 0.000), H at (0.000, 0.236, 0.426) and Ru at (0.000, 0.500, 0.750).



(6)
The following is a PBE calculation of crystalline ThZr2Pd9 at its relaxed geometry, from the Alexandria database.

The calculation puts the formation energy at -816 meV per atom. The calculation puts the calculated volume at 206.3 Å³/f.u. Its total energy is -6.75 eV per atom.

The space group is P4/mmm (No. 123) and the conventional cell measures 4.110, 4.110 and 12.215 Å, with angles of 90.00, 90.00 and 90.00 degrees. The distinct sites, in fractional coordinates, are Th at (0.000, 0.000, 0.000), Zr at (0.000, 0.000, 0.339), Pd at (0.000, 0.500, 0.176), Pd at (0.000, 0.500, 0.500), Pd at (0.500, 0.500, 0.000) and Pd at (0.500, 0.500, 0.338).



(7)
The following is a PBE calculation of crystalline Sr2NiAgN at its relaxed geometry, from the Alexandria database.

For the raw formation energy, the calculation gives -0.42 eV/atom. The calculation puts the calculated volume at 108.0 Å³/f.u. Its total energy is -4.49 eV per atom.

The space group is P4/mmm (No. 123) and the conventional cell measures 5.466, 5.466 and 3.614 Å, with angles of 90.00, 90.00 and 90.00 degrees. The distinct sites, in fractional coordinates, are Sr at (0.000, 0.500, 0.000), Ni at (0.000, 0.000, 0.500), Ag at (0.500, 0.500, 0.500) and N at (0.000, 0.000, 0.000).



(8)
The following is a PBE calculation of crystalline MgS2N at its relaxed geometry, from the Alexandria database.

The energy above the lowest structure with this stoichiometry is 1011 meV/atom. For the raw formation energy, the calculation gives 1.11 eV/atom. The calculation puts the calculated volume at 69.7 Å³/f.u. Its total energy is -3.43 eV per atom.

The space group is R-3m (No. 166, hexagonal axes) and the conventional cell measures 3.3393, 3.3393 and 21.6676 Å, with angles of 90.00, 90.00 and 120.00 degrees. The distinct sites, in fractional coordinates, are Mg at (0.0000, 0.0000, 0.0000), S at (0.0000, 0.0000, 0.1119) and N at (0.0000, 0.0000, 0.5000).



(9)
The following is a PBE calculation of crystalline InPtBr2 at its relaxed geometry, from the Alexandria database.

The energy above the lowest structure with this stoichiometry is 0 meV/atom. For the raw formation energy, the calculation gives -0.32 eV/atom. The calculation puts the calculated volume at 104.2 Å³/f.u. Its total energy is -3.35 eV per atom.

The space group is Amm2 (No. 38) and the conventional cell measures 4.090, 5.269 and 9.673 Å, with angles of 90.00, 90.00 and 90.00 degrees. The distinct sites, in fractional coordinates, are In at (0.000, 0.000, 0.000), Pt at (0.500, 0.000, 0.172), Br at (0.000, 0.000, 0.367) and Br at (0.500, 0.000, 0.694).



(10)
The following is a PBE calculation of crystalline AcAgAsAu at its relaxed geometry, from the Alexandria database.

The calculation puts the formation energy at -404 meV per atom. The calculation puts the calculated volume at 97.7 Å³/f.u. Its total energy is -4.13 eV per atom.

The space group is F-43m (No. 216) and the conventional cell measures 7.311, 7.311 and 7.311 Å, with angles of 90.00, 90.00 and 90.00 degrees. The distinct sites, in fractional coordinates, are Ac at (0.000, 0.000, 0.000), Ag at (0.250, 0.250, 0.250), As at (0.000, 0.000, 0.500) and Au at (0.250, 0.250, 0.750).



(11)
The following is a PBE calculation of crystalline KNa2AuSe at its relaxed geometry, from the Alexandria database.

For the raw formation energy, the calculation gives -0.60 eV/atom. The calculation puts the calculated volume at 185.7 Å³/f.u. Its total energy is -2.70 eV per atom.

The space group is P4/mmm (No. 123) and the conventional cell measures 5.426, 5.426 and 6.308 Å, with angles of 90.00, 90.00 and 90.00 degrees. The distinct sites, in fractional coordinates, are K at (0.000, 0.000, 0.000), Na at (0.000, 0.500, 0.500), Au at (0.500, 0.500, 0.000) and Se at (0.000, 0.000, 0.500).



(12)
The following is a PBE calculation of crystalline Zr2TaOs2 at its relaxed geometry, from the Alexandria database.

The calculation puts the formation energy at -209 meV per atom. The calculation puts the calculated volume at 97.5 Å³/f.u. Its total energy is -10.49 eV per atom.

The space group is P4/mbm (No. 127) and the conventional cell measures 6.643, 6.643 and 4.419 Å, with angles of 90.00, 90.00 and 90.00 degrees. The distinct sites, in fractional coordinates, are Zr at (0.184, 0.316, 0.000), Ta at (0.000, 0.000, 0.500) and Os at (0.134, 0.634, 0.500).